Record 1
Crystalline Zr2ScMo at its relaxed geometry. Source: the Alexandria database, functional PBE.

Values from the calculation:
* symmetry: Cmm2 (35)

extended XYZ file:
```
4
Lattice="1.684 -2.543 0.000 1.684 2.543 0.000 0.000 0.000 9.816" Properties=species:S:1:pos:R:3 pbc="T T T"
Zr 0.000 0.000 0.000
Zr 1.684 0.000 2.703
Sc 0.000 0.000 5.507
Mo 1.684 0.000 7.688
```

Record 2
Crystalline Zr2ScMo2 at its relaxed geometry. Source: the Alexandria database, functional PBE.

Values from the calculation:
* symmetry: P4/mbm (127)

extended XYZ file:
```
10
Lattice="7.604 0.000 0.000 0.000 7.604 0.000 0.000 0.000 3.527" Properties=species:S:1:pos:R:3 pbc="T T T"
Zr 1.155 2.647 0.000
Zr 2.647 6.449 0.000
Zr 4.957 1.155 0.000
Zr 6.449 4.957 0.000
Sc 0.000 0.000 1.763
Sc 3.802 3.802 1.763
Mo 1.105 4.907 1.763
Mo 2.697 1.105 1.763
Mo 4.907 6.499 1.763
Mo 6.499 2.697 1.763
```

no.,ΔH_f (0 K) (eV per atom)
1,0.119
2,0.190